No. 1
The following is a DFT calculation (PBE) of an optimized crystal structure of BeSi2Pt.

Calculated values
Symmetry: P2/m
Magnetic moment, μB/f.u.: 0.0
E_tot, eV per cell: -21.61

Unit cell a=4.1054 b=3.7568 c=4.4348 alpha=68.75 beta=90.00 gamma=90.00
Sites, in units of the cell vectors:
Si (0.0000, 0.9138, 0.4309)
Si (0.0000, 0.5862, 0.0691)
Be (0.5000, 0.2500, 0.2500)
Pt (0.5000, 0.7500, 0.7500)

---

No. 2
The following is a DFT calculation (PBE) of an optimized crystal structure of Be2SiPt.

Calculated values
Symmetry: P4/mmm
Magnetic moment, μB/f.u.: 0.0
E_tot, eV per cell: -20.19

Unit cell a=3.0414 b=3.0415 c=4.9256 alpha=90.00 beta=90.00 gamma=90.01
Sites, in units of the cell vectors:
Pt (0.5000, 0.5000, 0.2500)
Be (0.0000, 0.0000, 0.5072)
Be (0.0000, 0.0000, 0.9928)
Si (0.5000, 0.5000, 0.7500)